# Li2SnAuN PBE-GGA relaxed
# * density of states at the Fermi level: 1.3 states/eV/f.u.
# * crystal system: tetragonal
# * formation energy from raw total energies: -0.27 eV/atom
# * raw total energy: -4.153 eV per atom
data_Li2SnAuN
_chemical_formula_sum 'Li2 Sn1 Au1 N1'
_cell_length_a 4.112
_cell_length_b 4.112
_cell_length_c 4.519
_cell_angle_alpha 90.00
_cell_angle_beta 90.00
_cell_angle_gamma 90.00
_space_group_name_H-M_alt 'P 1'
_space_group_IT_number 1
loop_
_space_group_symop_operation_xyz
'x,y,z'
loop_
_atom_site_label
_atom_site_type_symbol
_atom_site_fract_x
_atom_site_fract_y
_atom_site_fract_z
_atom_site_occupancy
Li1 Li 0.000 0.500 0.000 1
Li2 Li 0.500 0.000 0.000 1
Au1 Au 0.500 0.500 0.500 1
Sn1 Sn 0.000 0.000 0.500 1
N1 N 0.000 0.000 0.000 1

# Nd4NiPtI2 PBE-GGA relaxed
# * density of states at the Fermi level: 6.3 states/eV/f.u.
# * crystal system: monoclinic
# * formation energy from raw total energies: -0.89 eV/atom
# * raw total energy: -5.135 eV per atom
data_Nd4NiPtI2
_chemical_formula_sum 'Nd4 Ni1 Pt1 I2'
_cell_length_a 4.240
_cell_length_b 7.276
_cell_length_c 8.437
_cell_angle_alpha 106.76
_cell_angle_beta 90.00
_cell_angle_gamma 90.00
_space_group_name_H-M_alt 'P 1'
_space_group_IT_number 1
loop_
_space_group_symop_operation_xyz
'x,y,z'
loop_
_atom_site_label
_atom_site_type_symbol
_atom_site_fract_x
_atom_site_fract_y
_atom_site_fract_z
_atom_site_occupancy
Nd1 Nd 0.500 0.223 0.184 1
Nd2 Nd 0.500 0.777 0.816 1
Nd3 Nd 0.000 0.260 0.815 1
Nd4 Nd 0.000 0.740 0.185 1
Ni1 Ni 0.000 0.000 0.000 1
Pt1 Pt 0.500 0.500 0.000 1
I1 I 0.500 0.000 0.500 1
I2 I 0.000 0.500 0.500 1

# MgAlRe2 PBE-GGA relaxed
# * density of states at the Fermi level: 2.0 states/eV/f.u.
# * crystal system: orthorhombic
# * energy relative to the lowest polymorph listed for this composition: 20.6 kJ/mol of atoms
# * ΔH_f (0 K): 137 meV per atom
# * raw total energy: -7.421 eV per atom
data_MgAlRe2
_chemical_formula_sum 'Mg1 Al1 Re2'
_cell_length_a 3.175
_cell_length_b 4.373
_cell_length_c 4.388
_cell_angle_alpha 90.00
_cell_angle_beta 90.00
_cell_angle_gamma 90.00
_space_group_name_H-M_alt 'P 1'
_space_group_IT_number 1
loop_
_space_group_symop_operation_xyz
'x,y,z'
loop_
_atom_site_label
_atom_site_type_symbol
_atom_site_fract_x
_atom_site_fract_y
_atom_site_fract_z
_atom_site_occupancy
Al1 Al 0.500 0.000 0.500 1
Mg1 Mg 0.000 0.500 0.500 1
Re1 Re 0.000 0.000 0.000 1
Re2 Re 0.500 0.500 0.000 1

# YFeAs PBE-GGA relaxed
# * density of states at the Fermi level: 2.1 states/eV/f.u.
# * crystal system: monoclinic
# * ΔH_f (0 K): -641 meV per atom
# * raw total energy: -7.167 eV per atom
data_YFeAs
_chemical_formula_sum 'Y2 Fe2 As2'
_cell_length_a 4.234
_cell_length_b 5.349
_cell_length_c 6.076
_cell_angle_alpha 99.10
_cell_angle_beta 90.00
_cell_angle_gamma 113.31
_space_group_name_H-M_alt 'P 1'
_space_group_IT_number 1
loop_
_space_group_symop_operation_xyz
'x,y,z'
loop_
_atom_site_label
_atom_site_type_symbol
_atom_site_fract_x
_atom_site_fract_y
_atom_site_fract_z
_atom_site_occupancy
As1 As 0.824 0.649 0.736 1
As2 As 0.176 0.351 0.264 1
Fe1 Fe 0.607 0.215 0.434 1
Fe2 Fe 0.393 0.785 0.566 1
Y1 Y 0.881 0.763 0.230 1
Y2 Y 0.119 0.237 0.770 1

# Hg2H10C3NCl5 PBE-GGA relaxed
# * density of states at the Fermi level: 0.0 states/eV/f.u.
# * crystal system: triclinic
# * raw total energy: -4.178 eV per atom
data_Hg2H10C3NCl5
_chemical_formula_sum 'Hg4 H20 C6 N2 Cl10'
_cell_length_a 6.359
_cell_length_b 10.176
_cell_length_c 11.515
_cell_angle_alpha 95.22
_cell_angle_beta 105.21
_cell_angle_gamma 98.93
_space_group_name_H-M_alt 'P 1'
_space_group_IT_number 1
loop_
_space_group_symop_operation_xyz
'x,y,z'
loop_
_atom_site_label
_atom_site_type_symbol
_atom_site_fract_x
_atom_site_fract_y
_atom_site_fract_z
_atom_site_occupancy
Hg1 Hg 0.085 0.895 0.172 1
Hg2 Hg 0.310 0.134 0.571 1
Hg3 Hg 0.690 0.866 0.429 1
Hg4 Hg 0.915 0.105 0.828 1
H1 H 0.732 0.385 0.402 1
H2 H 0.442 0.277 0.024 1
H3 H 0.274 0.637 0.923 1
H4 H 0.726 0.363 0.077 1
H5 H 0.172 0.741 0.681 1
H6 H 0.896 0.433 0.301 1
H7 H 0.346 0.807 0.896 1
H8 H 0.553 0.501 0.705 1
H9 H 0.558 0.723 0.976 1
H10 H 0.104 0.567 0.699 1
H11 H 0.684 0.552 0.865 1
H12 H 0.405 0.457 0.813 1
H13 H 0.316 0.448 0.135 1
H14 H 0.654 0.193 0.104 1
H15 H 0.442 0.267 0.230 1
H16 H 0.268 0.615 0.598 1
H17 H 0.595 0.543 0.187 1
H18 H 0.828 0.259 0.319 1
H19 H 0.447 0.499 0.295 1
H20 H 0.558 0.733 0.770 1
C1 C 0.599 0.289 0.096 1
C2 C 0.401 0.711 0.904 1
C3 C 0.230 0.645 0.683 1
C4 C 0.770 0.355 0.317 1
C5 C 0.473 0.467 0.207 1
C6 C 0.527 0.533 0.793 1
N1 N 0.437 0.660 0.786 1
N2 N 0.563 0.340 0.214 1
Cl1 Cl 0.327 0.331 0.473 1
Cl2 Cl 0.996 0.658 0.126 1
Cl3 Cl 0.100 0.126 0.151 1
Cl4 Cl 0.587 0.925 0.221 1
Cl5 Cl 0.673 0.669 0.527 1
Cl6 Cl 0.900 0.874 0.849 1
Cl7 Cl 0.413 0.075 0.779 1
Cl8 Cl 0.004 0.342 0.874 1
Cl9 Cl 0.816 0.099 0.568 1
Cl10 Cl 0.184 0.901 0.432 1

# MgNbPbW2 PBE-GGA relaxed
# * density of states at the Fermi level: 4.9 states/eV/f.u.
# * crystal system: tetragonal
# * ΔH_f (0 K): 1722 meV per atom
# * raw total energy: -6.534 eV per atom
data_MgNbPbW2
_chemical_formula_sum 'Mg1 Nb1 Pb1 W2'
_cell_length_a 4.801
_cell_length_b 5.361
_cell_length_c 4.801
_cell_angle_alpha 90.00
_cell_angle_beta 90.00
_cell_angle_gamma 90.00
_space_group_name_H-M_alt 'P 1'
_space_group_IT_number 1
loop_
_space_group_symop_operation_xyz
'x,y,z'
loop_
_atom_site_label
_atom_site_type_symbol
_atom_site_fract_x
_atom_site_fract_y
_atom_site_fract_z
_atom_site_occupancy
Pb1 Pb 0.500 0.500 0.500 1
Nb1 Nb 0.000 0.000 0.000 1
Mg1 Mg 0.000 0.500 0.000 1
W1 W 0.000 0.000 0.500 1
W2 W 0.500 0.000 0.000 1

# Np2Ga3Sn3 PBE-GGA relaxed
# * density of states at the Fermi level: 20.2 states/eV/f.u.
# * crystal system: orthorhombic
# * ΔH_f (0 K): -169 meV per atom
# * raw total energy: -6.040 eV per atom
data_Np2Ga3Sn3
_chemical_formula_sum 'Np2 Ga3 Sn3'
_cell_length_a 4.374
_cell_length_b 4.470
_cell_length_c 9.106
_cell_angle_alpha 90.00
_cell_angle_beta 90.00
_cell_angle_gamma 90.00
_space_group_name_H-M_alt 'P 1'
_space_group_IT_number 1
loop_
_space_group_symop_operation_xyz
'x,y,z'
loop_
_atom_site_label
_atom_site_type_symbol
_atom_site_fract_x
_atom_site_fract_y
_atom_site_fract_z
_atom_site_occupancy
Np1 Np 0.000 0.000 0.754 1
Np2 Np 0.000 0.000 0.246 1
Ga1 Ga 0.500 0.500 0.762 1
Ga2 Ga 0.500 0.500 0.238 1
Ga3 Ga 0.500 0.000 0.000 1
Sn1 Sn 0.500 0.000 0.500 1
Sn2 Sn 0.000 0.500 0.000 1
Sn3 Sn 0.000 0.500 0.500 1

# PmIn2OsO8 PBE-GGA relaxed
# * density of states at the Fermi level: 4.8 states/eV/f.u.
# * crystal system: monoclinic
# * formation energy from raw total energies: -1.62 eV/atom
# * raw total energy: -6.714 eV per atom
data_PmIn2OsO8
_chemical_formula_sum 'Pm1 In2 Os1 O8'
_cell_length_a 4.976
_cell_length_b 4.964
_cell_length_c 6.721
_cell_angle_alpha 90.00
_cell_angle_beta 90.00
_cell_angle_gamma 90.00
_space_group_name_H-M_alt 'P 1'
_space_group_IT_number 1
loop_
_space_group_symop_operation_xyz
'x,y,z'
loop_
_atom_site_label
_atom_site_type_symbol
_atom_site_fract_x
_atom_site_fract_y
_atom_site_fract_z
_atom_site_occupancy
Pm1 Pm 0.000 0.000 0.500 1
In1 In 0.500 0.500 0.750 1
In2 In 0.500 0.500 0.250 1
Os1 Os 0.000 0.000 0.000 1
O1 O 0.186 0.811 0.204 1
O2 O 0.722 0.725 0.000 1
O3 O 0.814 0.189 0.204 1
O4 O 0.814 0.189 0.796 1
O5 O 0.278 0.275 0.000 1
O6 O 0.186 0.811 0.796 1
O7 O 0.683 0.687 0.500 1
O8 O 0.317 0.313 0.500 1

Question: Which value of density of states at the Fermi level does entry 4 give?
Answer: 2.1 states/eV/f.u.

Question: Among the records above, which one has the highest raw total energy?
Answer: Li2SnAuN

Question: The lowest raw total energy belongs to which entry?
Answer: MgAlRe2

Question: Among the records above, which one has the lowest density of states at the Fermi level?
Answer: Hg2H10C3NCl5